# Cs3SbP

A geometry-optimized Cs3SbP structure (PBE, the Alexandria database).

Geometry as extended XYZ:
```
20
Lattice="-5.3575 2.8126 -3.2537 -6.5081 -8.2576 3.5779 -0.2635 9.9177 9.0070" Properties=species:S:1:pos:R:3 pbc="T T T"
Cs -5.0387 6.0086 0.1977
Cs -7.0903 -1.5359 9.1335
Cs -8.7410 -5.5590 3.5475
Cs -3.3880 10.0317 5.7837
Cs -4.4175 3.3811 3.2223
Cs -7.7115 1.0916 6.1089
Cs -10.0524 -2.5692 0.1037
Cs -2.0766 7.0419 9.2275
Cs -7.9492 5.8277 4.0551
Cs -4.1798 -1.3550 5.2761
Cs -6.6690 4.8415 8.3479
Cs -5.4600 -0.3688 0.9833
Sb -1.8082 -0.0259 2.6655
Sb -10.3209 4.4986 6.6657
Sb -7.7241 -1.7543 3.6592
Sb -4.4049 6.2271 5.6720
P -3.6479 7.0057 3.2902
P -8.4811 -2.5330 6.0410
P -7.0561 1.6087 11.4899
P -5.0729 2.8641 -2.1587
```

Properties
The energy above the most stable polymorph in this dataset comes out at 0.00 kJ/mol of atoms. For the formation energy from raw total energies, the calculation gives -0.346 eV per atom. The density comes out at 3.78 g/cm³. The symmetry is P2_1/c, No. 14.


# Rb2Mn2Cl5

A geometry-optimized Rb2Mn2Cl5 structure (PBE, the Alexandria database).

Geometry as extended XYZ:
```
9
Lattice="-0.5390 -5.1591 0.6660 -1.0102 1.8574 -6.9627 7.7270 -0.6714 1.0527" Properties=species:S:1:pos:R:3 pbc="T T T"
Rb 4.2708 -1.0418 -4.6133
Rb 1.9070 -2.9313 -0.6306
Mn 6.5319 -0.8352 -1.1832
Mn -0.3541 -3.1379 -4.0608
Cl -0.2204 -0.5491 -4.4320
Cl 6.3982 -3.4240 -0.8120
Cl 4.1613 -0.6083 -1.3445
Cl 2.0165 -3.3648 -3.8995
Cl 0.0000 0.0000 0.0000
```

Properties
For the formation energy from raw total energies, the calculation gives -1.248 eV per atom. The density comes out at 2.88 g/cm³. The symmetry is C2/m, No. 12.


# TcNiHW2

A geometry-optimized TcNiHW2 structure (PBE, the Alexandria database).

Geometry as extended XYZ:
```
5
Lattice="-1.2009 -3.1876 -2.0040 2.4953 -2.2490 2.0820 -2.7538 -0.6178 2.6330" Properties=species:S:1:pos:R:3 pbc="T T T"
Ni -0.7297 -3.0272 1.3555
Tc -1.3769 -0.3089 1.3165
W 1.2477 -1.1245 1.0410
W -0.6005 -1.5938 -1.0020
H 0.0000 0.0000 0.0000
```

Properties
The energy above the most stable polymorph in this dataset comes out at 3.83 kJ/mol of atoms. The density comes out at 14.47 g/cm³. The symmetry is P4/mmm, No. 123.


# TlGeS3

A geometry-optimized TlGeS3 structure (PBE, the Alexandria database).

Geometry as extended XYZ:
```
5
Lattice="5.0920 0.0000 0.0000 0.0000 5.0920 0.0000 0.0000 0.0000 5.0920" Properties=species:S:1:pos:R:3 pbc="T T T"
S 0.0000 2.5460 0.0000
S 0.0000 0.0000 2.5460
S 2.5460 0.0000 0.0000
Tl 0.0000 0.0000 0.0000
Ge 2.5460 2.5460 2.5460
```

Properties
The energy above the most stable polymorph in this dataset comes out at 66.44 kJ/mol of atoms. For the formation energy from raw total energies, the calculation gives 0.786 eV per atom. The density comes out at 4.69 g/cm³. The symmetry is Pm-3m, No. 221.